1.
InIrPb: optimized geometry, GGA-PBEsol.

CIF file:
```
data_InIrPb
_space_group_name_H-M_alt 'P 1'
_space_group_IT_number 1
_cell_length_a 4.674
_cell_length_b 4.674
_cell_length_c 3.340
_cell_angle_alpha 90.00
_cell_angle_beta 90.00
_cell_angle_gamma 120.00
loop_
_space_group_symop_operation_xyz
'x,y,z'
loop_
_atom_site_label
_atom_site_type_symbol
_atom_site_fract_x
_atom_site_fract_y
_atom_site_fract_z
In1 In 0.000 0.000 0.000
Ir1 Ir 0.667 0.333 0.000
Pb1 Pb 0.333 0.667 0.500
```

Results
As for the volume: 21.06 Å³/atom.

2.
CaAlAu: optimized geometry, GGA-PBEsol.

CIF file:
```
data_CaAlAu
_space_group_name_H-M_alt 'P 1'
_space_group_IT_number 1
_cell_length_a 7.229
_cell_length_b 4.484
_cell_length_c 7.688
_cell_angle_alpha 90.00
_cell_angle_beta 90.00
_cell_angle_gamma 90.00
loop_
_space_group_symop_operation_xyz
'x,y,z'
loop_
_atom_site_label
_atom_site_type_symbol
_atom_site_fract_x
_atom_site_fract_y
_atom_site_fract_z
Ca1 Ca 0.015 0.250 0.181
Ca2 Ca 0.485 0.750 0.681
Ca3 Ca 0.515 0.250 0.319
Ca4 Ca 0.985 0.750 0.819
Al1 Al 0.153 0.250 0.567
Al2 Al 0.347 0.750 0.067
Al3 Al 0.653 0.250 0.933
Al4 Al 0.847 0.750 0.433
Au1 Au 0.209 0.750 0.385
Au2 Au 0.291 0.250 0.885
Au3 Au 0.709 0.750 0.115
Au4 Au 0.791 0.250 0.615
```

Results
As for the volume: 20.77 Å³/atom.

3.
BaGe2Au2: optimized geometry, GGA-PBEsol.

CIF file:
```
data_BaGe2Au2
_space_group_name_H-M_alt 'P 1'
_space_group_IT_number 1
_cell_length_a 6.235
_cell_length_b 6.235
_cell_length_c 6.235
_cell_angle_alpha 136.59
_cell_angle_beta 136.59
_cell_angle_gamma 63.07
loop_
_space_group_symop_operation_xyz
'x,y,z'
loop_
_atom_site_label
_atom_site_type_symbol
_atom_site_fract_x
_atom_site_fract_y
_atom_site_fract_z
Ba1 Ba 0.000 0.000 0.000
Ge1 Ge 0.250 0.750 0.500
Ge2 Ge 0.750 0.250 0.500
Au1 Au 0.367 0.367 0.000
Au2 Au 0.633 0.633 0.000
```

Results
As for the volume: 22.60 Å³/atom.

4.
La3Rh: optimized geometry, GGA-PBEsol.

CIF file:
```
data_La3Rh
_space_group_name_H-M_alt 'P 1'
_space_group_IT_number 1
_cell_length_a 3.713
_cell_length_b 3.702
_cell_length_c 8.216
_cell_angle_alpha 90.00
_cell_angle_beta 96.11
_cell_angle_gamma 90.00
loop_
_space_group_symop_operation_xyz
'x,y,z'
loop_
_atom_site_label
_atom_site_type_symbol
_atom_site_fract_x
_atom_site_fract_y
_atom_site_fract_z
La1 La 0.000 0.000 0.000
La2 La 0.429 0.500 0.694
La3 La 0.571 0.500 0.306
Rh1 Rh 0.000 0.000 0.500
```

Results
As for the volume: 28.08 Å³/atom.

5.
RbSeBr3: optimized geometry, GGA-PBEsol.

CIF file:
```
data_RbSeBr3
_space_group_name_H-M_alt 'P 1'
_space_group_IT_number 1
_cell_length_a 5.462
_cell_length_b 5.462
_cell_length_c 5.324
_cell_angle_alpha 90.00
_cell_angle_beta 90.00
_cell_angle_gamma 90.00
loop_
_space_group_symop_operation_xyz
'x,y,z'
loop_
_atom_site_label
_atom_site_type_symbol
_atom_site_fract_x
_atom_site_fract_y
_atom_site_fract_z
Rb1 Rb 0.000 0.000 0.000
Se1 Se 0.500 0.500 0.497
Br1 Br 0.000 0.500 0.497
Br2 Br 0.500 0.000 0.497
Br3 Br 0.500 0.500 0.997
```

Results
As for the volume: 31.76 Å³/atom. The uncorrected formation energy comes out at -0.759 eV per atom.

6.
BaNb3Au: optimized geometry, GGA-PBEsol.

CIF file:
```
data_BaNb3Au
_space_group_name_H-M_alt 'P 1'
_space_group_IT_number 1
_cell_length_a 5.091
_cell_length_b 5.091
_cell_length_c 5.091
_cell_angle_alpha 90.00
_cell_angle_beta 90.00
_cell_angle_gamma 90.00
loop_
_space_group_symop_operation_xyz
'x,y,z'
loop_
_atom_site_label
_atom_site_type_symbol
_atom_site_fract_x
_atom_site_fract_y
_atom_site_fract_z
Ba1 Ba 0.000 0.000 0.000
Nb1 Nb 0.000 0.500 0.500
Nb2 Nb 0.500 0.000 0.500
Nb3 Nb 0.500 0.500 0.000
Au1 Au 0.500 0.500 0.500
```

Results
As for the volume: 26.38 Å³/atom.

7.
ZnPt2Rh: optimized geometry, GGA-PBEsol.

CIF file:
```
data_ZnPt2Rh
_space_group_name_H-M_alt 'P 1'
_space_group_IT_number 1
_cell_length_a 4.653
_cell_length_b 4.653
_cell_length_c 2.733
_cell_angle_alpha 90.00
_cell_angle_beta 90.00
_cell_angle_gamma 107.81
loop_
_space_group_symop_operation_xyz
'x,y,z'
loop_
_atom_site_label
_atom_site_type_symbol
_atom_site_fract_x
_atom_site_fract_y
_atom_site_fract_z
Zn1 Zn 0.000 0.000 0.000
Pt1 Pt 0.000 0.500 0.500
Pt2 Pt 0.500 0.000 0.500
Rh1 Rh 0.500 0.500 0.000
```

Results
As for the volume: 14.08 Å³/atom.

8.
TlPRh3: optimized geometry, GGA-PBEsol.

CIF file:
```
data_TlPRh3
_space_group_name_H-M_alt 'P 1'
_space_group_IT_number 1
_cell_length_a 4.843
_cell_length_b 4.843
_cell_length_c 4.843
_cell_angle_alpha 90.00
_cell_angle_beta 90.00
_cell_angle_gamma 90.00
loop_
_space_group_symop_operation_xyz
'x,y,z'
loop_
_atom_site_label
_atom_site_type_symbol
_atom_site_fract_x
_atom_site_fract_y
_atom_site_fract_z
Tl1 Tl 0.000 0.000 0.000
P1 P 0.500 0.500 0.500
Rh1 Rh 0.000 0.000 0.500
Rh2 Rh 0.000 0.500 0.000
Rh3 Rh 0.500 0.000 0.000
```

Results
As for the volume: 22.72 Å³/atom.

Electronic total energy in eV/cell, matching the order above: -15.718 -49.134 -22.351 -25.277 -14.282 -31.518 -24.873 -22.579